<one>
VASP calculation (PBE) on LaHoPu after structural relaxation.

Output
The density of states at the Fermi level is 8.4 states/eV/f.u.

Structure (extended XYZ):
```
3
Lattice="3.573 0.000 0.000 -1.786 3.094 0.000 0.000 0.000 8.620" Properties=species:S:1:pos:R:3 pbc="T T T"
La 0.000 0.000 0.043
Pu 1.786 1.031 2.905
Ho 0.000 2.063 5.673
```

<two>
VASP calculation (PBE) on LaHoPu after structural relaxation.

Output
The density of states at the Fermi level is 7.1 states/eV/f.u.

Structure (extended XYZ):
```
3
Lattice="3.584 0.000 0.000 0.000 3.584 0.000 -1.792 -1.792 7.449" Properties=species:S:1:pos:R:3 pbc="T T T"
La 0.000 0.000 4.260
Pu 1.792 1.792 6.742
Ho 1.792 1.792 1.660
```

Least stable structure among those shown: <one>.